[1]
This record from Alexandria via LeMat-Bulk describes crystalline Gd3Sc at its relaxed geometry. The functional is GGA-PBE.

Cell: 4.9415 4.9415 4.9415 Å, 90.00 90.00 90.00°
Last column: nearest neighbours and their distance in Å.
Positions (direct):
Gd1 0.0000 0.0000 0.5000  8 Gd 3.49, 4 Sc 3.49
Gd2 0.0000 0.5000 0.0000  8 Gd 3.49, 4 Sc 3.49
Gd3 0.5000 0.0000 0.0000  8 Gd 3.49, 4 Sc 3.49
Sc1 0.5000 0.5000 0.5000  12 Gd 3.49

The space group is Pm-3m. The value obtained for the calculated density is 7.11 Mg/m³. The value obtained for the total energy is -12.08 eV/atom. For the energy relative to the elements, the calculation gives 0.2 eV/f.u. For the polymorph energy (0 for the lowest one), the calculation gives 0.028 eV per atom.

[2]
This record from Alexandria via LeMat-Bulk describes crystalline MgHIr4 at its relaxed geometry. The functional is GGA-PBE.

Cell: 4.7353 4.7381 5.1801 Å, 89.85 62.84 60.03°
Last column: nearest neighbours and their distance in Å.
Positions (direct):
Mg1 0.0000 0.0000 0.0000  9 Ir 2.70-2.76
H1 0.5384 0.2283 0.6909  3 Ir 1.86-1.88
Ir1 0.0185 0.8116 0.4967  1 H 1.88
Ir2 0.3159 0.1685 0.4962  1 H 1.86
Ir3 0.6631 0.6677 0.0064  6 Ir 2.66-2.72, 3 Mg 2.73-2.74
Ir4 0.6723 0.5140 0.4980  1 H 1.87

The space group is P1. The value obtained for the calculated density is 15.39 Mg/m³. The value obtained for the total energy is -6.67 eV/atom. For the polymorph energy (0 for the lowest one), the calculation gives 0.101 eV per atom.